Entry 1:
MgSc2RhN | PBE | optimized geometry

Cell lengths 4.373, 4.373, 4.148 Å; angles 90.00, 90.00, 90.00 degrees
Element x y z (fractional)
Mg (0.000, 0.000, 0.000)
Sc (0.000, 0.500, 0.500)
Sc (0.500, 0.000, 0.500)
Rh (0.500, 0.500, 0.000)
N (0.000, 0.000, 0.500)

Entry 2:
MgRhSe2N | PBE | optimized geometry

- Excess energy over the best structure of this formula in the dataset: 0.885 eV per atom

Cell lengths 5.011, 5.011, 3.810 Å; angles 90.00, 90.00, 90.00 degrees
Element x y z (fractional)
Mg (0.000, 0.000, 0.000)
Rh (0.500, 0.500, 0.500)
Se (0.000, 0.500, 0.000)
Se (0.500, 0.000, 0.000)
N (0.000, 0.000, 0.500)

Entry 3:
MgRhSe2N | PBE | optimized geometry

- Excess energy over the best structure of this formula in the dataset: 0.000 eV per atom

Cell lengths 5.177, 5.177, 3.639 Å; angles 90.00, 90.00, 90.00 degrees
Element x y z (fractional)
Mg (0.000, 0.000, 0.000)
Rh (0.500, 0.500, 0.500)
Se (0.000, 0.500, 0.500)
Se (0.500, 0.000, 0.500)
N (0.500, 0.500, 0.000)

Entry 4:
MgTiRh2N | PBE | optimized geometry

Cell lengths 4.443, 4.443, 5.512 Å; angles 90.00, 90.00, 90.00 degrees
Element x y z (fractional)
Mg (0.000, 0.000, 0.000)
Ti (0.000, 0.000, 0.500)
Rh (0.000, 0.500, 0.500)
Rh (0.500, 0.000, 0.500)
N (0.500, 0.500, 0.000)

Entry 5:
MgRuN3 | PBE | optimized geometry

Cell lengths 3.789, 3.789, 3.789 Å; angles 90.00, 90.00, 90.00 degrees
Element x y z (fractional)
Mg (0.000, 0.000, 0.000)
Ru (0.500, 0.500, 0.500)
N (0.000, 0.000, 0.500)
N (0.000, 0.500, 0.000)
N (0.500, 0.000, 0.000)

Entry 6:
MgRu3N | PBE | optimized geometry

- Excess energy over the best structure of this formula in the dataset: 0.000 eV per atom

Cell lengths 4.050, 4.050, 4.050 Å; angles 90.00, 90.00, 90.00 degrees
Element x y z (fractional)
Mg (0.000, 0.000, 0.000)
Ru (0.000, 0.500, 0.500)
Ru (0.500, 0.000, 0.500)
Ru (0.500, 0.500, 0.000)
N (0.500, 0.500, 0.500)

no.,density of states at the Fermi level (states/eV/atom),raw formation energy (eV/atom),E_tot (eV/atom)
1,0.854,-0.908,-6.895
2,1.004,0.955,-3.893
3,0.393,0.070,-4.778
4,0.632,1.584,-4.920
5,1.677,2.147,-5.023
6,0.992,0.026,-7.523